No. 1
HfTlTe3: optimized geometry, PBE.

Cell lengths 10.7142, 10.7142, 5.9684 Å; angles 90.00, 90.00, 115.22 degrees
Fractional positions:
Hf (0.1033, 0.3967, 0.2500)
Hf (0.3967, 0.1033, 0.7500)
Hf (0.6033, 0.8967, 0.2500)
Hf (0.8967, 0.6033, 0.7500)
Tl (0.0745, 0.9255, 0.2498)
Tl (0.4255, 0.5745, 0.7498)
Tl (0.5745, 0.4255, 0.2502)
Tl (0.9255, 0.0745, 0.7502)
Te (0.0569, 0.4431, 0.7500)
Te (0.1529, 0.8471, 0.7499)
Te (0.2504, 0.2504, 0.0000)
Te (0.2496, 0.2496, 0.5000)
Te (0.3471, 0.6529, 0.2499)
Te (0.4431, 0.0569, 0.2500)
Te (0.5569, 0.9431, 0.7500)
Te (0.6529, 0.3471, 0.7501)
Te (0.7496, 0.7496, 0.0000)
Te (0.7504, 0.7504, 0.5000)
Te (0.8471, 0.1529, 0.2501)
Te (0.9431, 0.5569, 0.2500)

Calculated values
- crystal system = orthorhombic
- energy relative to the elements, uncorrected (eV per atom) = -0.437
- polymorph energy (0 for the lowest one) (meV/atom) = 88.5

No. 2
YHo6Mg2: optimized geometry, PBE.

Cell lengths 8.1760, 8.1760, 8.1760 Å; angles 47.63, 47.63, 47.63 degrees
Fractional positions:
Y (0.0000, 0.0000, 0.0000)
Ho (0.0543, 0.5170, 0.5983)
Ho (0.2152, 0.7635, 0.6583)
Ho (0.5170, 0.5983, 0.0543)
Ho (0.5983, 0.0543, 0.5170)
Ho (0.6583, 0.2152, 0.7635)
Ho (0.7635, 0.6583, 0.2152)
Mg (0.1396, 0.1396, 0.1396)
Mg (0.2728, 0.2728, 0.2728)

Calculated values
- crystal system = trigonal
- formation enthalpy at 0 K (meV per atom) = 200.0

No. 3
Tb2Nd4ErTm: optimized geometry, PBE.

Cell lengths 5.1179, 5.1415, 10.0546 Å; angles 90.00, 90.00, 90.00 degrees
Fractional positions:
Tb (0.0000, 0.0000, 0.0000)
Tb (0.5000, 0.5000, 0.5000)
Nd (0.0000, 0.5000, 0.2493)
Nd (0.0000, 0.5000, 0.7507)
Nd (0.5000, 0.0000, 0.2498)
Nd (0.5000, 0.0000, 0.7502)
Er (0.0000, 0.0000, 0.5000)
Tm (0.5000, 0.5000, 0.0000)

Calculated values
- crystal system = orthorhombic
- formation enthalpy at 0 K (meV per atom) = 16.1

No. 4
CaDyInPb: optimized geometry, PBE.

Cell lengths 7.6962, 7.6962, 7.6962 Å; angles 90.00, 90.00, 90.00 degrees
Fractional positions:
Ca (0.0000, 0.0000, 0.0000)
Ca (0.0000, 0.5000, 0.5000)
Ca (0.5000, 0.0000, 0.5000)
Ca (0.5000, 0.5000, 0.0000)
Dy (0.0000, 0.0000, 0.5000)
Dy (0.0000, 0.5000, 0.0000)
Dy (0.5000, 0.0000, 0.0000)
Dy (0.5000, 0.5000, 0.5000)
In (0.2500, 0.2500, 0.2500)
In (0.2500, 0.7500, 0.7500)
In (0.7500, 0.2500, 0.7500)
In (0.7500, 0.7500, 0.2500)
Pb (0.2500, 0.2500, 0.7500)
Pb (0.2500, 0.7500, 0.2500)
Pb (0.7500, 0.2500, 0.2500)
Pb (0.7500, 0.7500, 0.7500)

Calculated values
- crystal system = cubic
- formation enthalpy at 0 K (meV per atom) = -423.0

No. 5
Y4MgAl3: optimized geometry, PBE.

Cell lengths 5.1605, 5.1605, 7.2643 Å; angles 90.00, 90.00, 90.00 degrees
Fractional positions:
Y (0.0000, 0.5000, 0.2456)
Y (0.0000, 0.5000, 0.7544)
Y (0.5000, 0.0000, 0.2456)
Y (0.5000, 0.0000, 0.7544)
Mg (0.0000, 0.0000, 0.5000)
Al (0.0000, 0.0000, 0.0000)
Al (0.5000, 0.5000, 0.0000)
Al (0.5000, 0.5000, 0.5000)

Calculated values
- crystal system = tetragonal
- formation enthalpy at 0 K (meV per atom) = -363.5

No. 6
LiNbP2O8: optimized geometry, PBE.

Cell lengths 5.2961, 7.3554, 8.2194 Å; angles 90.00, 90.02, 90.00 degrees
Fractional positions:
Li (0.2496, 0.0000, 0.2161)
Li (0.7504, 0.5000, 0.7839)
Nb (0.2501, 0.4044, 0.2508)
Nb (0.7499, 0.9044, 0.7492)
P (0.2497, 0.0752, 0.5481)
P (0.2502, 0.7053, 0.9330)
P (0.7498, 0.2053, 0.0670)
P (0.7503, 0.5752, 0.4519)
O (0.0095, 0.7037, 0.8204)
O (0.0170, 0.0635, 0.6683)
O (0.2495, 0.9230, 0.4290)
O (0.2500, 0.2667, 0.4669)
O (0.2500, 0.5209, 0.0338)
O (0.2505, 0.8665, 0.0401)
O (0.4824, 0.0633, 0.6684)
O (0.4906, 0.7035, 0.8203)
O (0.5094, 0.2035, 0.1797)
O (0.5176, 0.5633, 0.3316)
O (0.7495, 0.3665, 0.9599)
O (0.7500, 0.0209, 0.9662)
O (0.7500, 0.7667, 0.5331)
O (0.7505, 0.4230, 0.5710)
O (0.9830, 0.5635, 0.3317)
O (0.9905, 0.2037, 0.1796)

Calculated values
- crystal system = monoclinic
- energy relative to the elements, uncorrected (eV per atom) = -2.311

Looking at calculated total energy for the records above, in order, we have -0.176 -0.144 -0.171 -0.135 -0.191 -0.276 Ha/atom.